No. 1
MnTcAg2 after structural relaxation. Source: Alexandria via LeMat-Bulk, functional GGA-PBE.

```
MnTcAg2
1.0
0.000 3.184 3.184
3.184 0.000 3.184
3.184 3.184 0.000
Mn Tc Ag
1 1 2
direct
0.000 0.000 0.000 Mn
0.750 0.750 0.750 Tc
0.250 0.250 0.250 Ag
0.500 0.500 0.500 Ag
```

## Properties
Its formation energy from the elements is 202 kJ/mol of formula units. The value obtained for the calculated total energy is -5.79 eV/atom.

---

No. 2
MnTcAg2 after structural relaxation. Source: Alexandria via LeMat-Bulk, functional GGA-PBE.

```
MnTcAg2
1.0
2.826 0.000 0.000
0.000 2.827 0.000
-0.010 0.000 7.992
Mn Tc Ag
1 1 2
direct
0.000 0.000 0.000 Mn
0.500 0.500 0.807 Tc
0.500 0.500 0.258 Ag
0.999 0.000 0.534 Ag
```

## Properties
Its formation energy from the elements is 108 kJ/mol of formula units. The value obtained for the calculated total energy is -6.03 eV/atom.